--- one ---
Below is In5BiTe4 after structural relaxation, with properties calculated at the GGA-PBE level.

abc: 7.005 12.117 8.993
angles: 90.00 90.00 90.00
Sites, in units of the cell vectors:
1 Te 0.392 0.232 0.500
2 In 0.792 0.253 0.678
3 Te 0.608 0.268 0.000
4 Te 0.392 0.768 0.500
5 Te 0.854 0.000 0.736
6 Bi 0.395 0.500 0.500
7 Te 0.854 0.000 0.264
8 In 0.792 0.747 0.678
9 In 0.792 0.747 0.322
10 Te 0.608 0.732 0.000
11 In 0.189 0.000 0.500
12 Te 0.146 0.500 0.764
13 In 0.208 0.753 0.178
14 In 0.811 0.500 0.000
15 In 0.208 0.753 0.822
16 In 0.792 0.253 0.322
17 In 0.208 0.247 0.178
18 Bi 0.605 0.000 0.000
19 Te 0.146 0.500 0.236
20 In 0.208 0.247 0.822


--- two ---
Below is In5BiTe4 after structural relaxation, with properties calculated at the GGA-PBE level.

abc: 7.237 7.738 7.739
angles: 77.37 62.05 62.05
Sites, in units of the cell vectors:
1 Te 0.413 0.301 0.699
2 In 0.899 0.000 0.409
3 Bi 0.918 0.000 0.000
4 Te 0.714 0.699 0.699
5 In 0.505 0.000 0.000
6 Te 0.111 0.302 0.302
7 Te 0.413 0.699 0.301
8 In 0.309 0.590 0.000
9 In 0.899 0.409 0.000
10 In 0.309 0.000 0.590


It is one that is the least stable of them.


--- one ---
Below is InBi3Te4 after structural relaxation, with properties calculated at the GGA-PBE level.

abc: 4.412 7.732 24.892
angles: 88.00 90.00 90.00
Sites, in units of the cell vectors:
1 Bi 0.000 0.174 0.533
2 Te 0.500 0.313 0.940
3 Bi 0.000 0.489 0.872
4 Te 0.000 0.144 0.793
5 Te 0.500 0.659 0.788
6 Te 0.000 0.152 0.068
7 Bi 0.500 0.674 0.534
8 Te 0.000 0.510 0.360
9 In 0.000 0.472 0.125
10 Te 0.500 0.010 0.360
11 In 0.500 0.971 0.125
12 Bi 0.000 0.175 0.289
13 In 0.500 0.999 0.875
14 Bi 0.000 0.849 0.466
15 Te 0.000 0.820 0.934
16 Te 0.500 0.365 0.208
17 Bi 0.500 0.335 0.711
18 Bi 0.500 0.674 0.289
19 Bi 0.500 0.350 0.465
20 Bi 0.000 0.834 0.708
21 Te 0.000 0.865 0.209
22 Te 0.500 0.652 0.068
23 Te 0.000 0.504 0.640
24 Te 0.500 0.008 0.638


--- two ---
Below is InBi3Te4 after structural relaxation, with properties calculated at the GGA-PBE level.

abc: 6.518 6.534 12.759
angles: 90.00 90.00 90.00
Sites, in units of the cell vectors:
1 Te 0.564 0.760 0.755
2 Bi 0.564 0.254 0.250
3 Te 0.564 0.243 0.500
4 In 0.564 0.742 0.500
5 Te 0.064 0.240 0.255
6 Bi 0.564 0.760 0.000
7 Bi 0.064 0.746 0.250
8 Te 0.564 0.270 0.000
9 Bi 0.064 0.746 0.750
10 Te 0.064 0.757 0.000
11 Bi 0.564 0.254 0.750
12 Te 0.064 0.730 0.500
13 In 0.064 0.258 0.000
14 Bi 0.064 0.240 0.500
15 Te 0.064 0.240 0.745
16 Te 0.564 0.760 0.245


It is two that is the least stable of them.